No. 1
First-principles (PBE) data for Sc6InBi after structural relaxation, as listed in Alexandria.

Results
Calculated total energy, eV for the cell shown: -47.02
DOS at the Fermi energy, states/eV/atom: 1.156
Energy relative to the elements, eV/atom: -0.301

Cell: 4.551 4.551 9.108 Å, 90.00 90.00 90.00°
Fractional coordinates of all 8 atoms:
Sc  0.000  0.000  0.000
Sc  0.000  0.000  0.500
Sc  0.000  0.500  0.244
Sc  0.000  0.500  0.756
Sc  0.500  0.000  0.244
Sc  0.500  0.000  0.756
In  0.500  0.500  0.000
Bi  0.500  0.500  0.500


No. 2
First-principles (PBE) data for ScInBi2 after structural relaxation, as listed in Alexandria.

Results
Calculated total energy, eV for the cell shown: -17.89
DOS at the Fermi energy, states/eV/atom: 0.825
Energy relative to the elements, eV/atom: -0.265

Cell: 4.061 4.061 6.712 Å, 90.00 90.00 90.00°
Fractional coordinates of all 4 atoms:
Sc  0.000  0.000  0.000
In  0.000  0.000  0.500
Bi  0.500  0.500  0.233
Bi  0.500  0.500  0.767


No. 3
First-principles (PBE) data for ScInBi2 after structural relaxation, as listed in Alexandria.

Results
Calculated total energy, eV for the cell shown: -34.11
DOS at the Fermi energy, states/eV/atom: 0.000
Energy relative to the elements, eV/atom: -0.055

Cell: 8.291 8.291 8.291 Å, 131.29 131.29 71.36°
Fractional coordinates of all 8 atoms:
Sc  0.000  0.000  0.000
Sc  0.750  0.250  0.500
In  0.250  0.750  0.500
In  0.500  0.500  0.000
Bi  0.120  0.625  0.995
Bi  0.375  0.370  0.495
Bi  0.630  0.125  0.005
Bi  0.875  0.880  0.505


No. 4
First-principles (PBE) data for ScInBiTe2 after structural relaxation, as listed in Alexandria.

Results
Calculated total energy, eV for the cell shown: -16.76
DOS at the Fermi energy, states/eV/atom: 0.896
ΔE_f (raw), meV/atom: 494

Cell: 6.023 6.023 5.574 Å, 90.00 90.00 90.00°
Fractional coordinates of all 5 atoms:
Sc  0.000  0.000  0.000
In  0.500  0.500  0.000
Bi  0.500  0.500  0.500
Te  0.000  0.500  0.500
Te  0.500  0.000  0.500


No. 5
First-principles (PBE) data for ScInBiW2 after structural relaxation, as listed in Alexandria.

Results
Calculated total energy, eV for the cell shown: -29.66
DOS at the Fermi energy, states/eV/atom: 1.224
Energy relative to the elements, eV/atom: 1.839

Cell: 4.992 4.992 5.138 Å, 90.00 90.00 90.00°
Fractional coordinates of all 5 atoms:
Sc  0.000  0.000  0.000
In  0.000  0.000  0.500
Bi  0.500  0.500  0.000
W  0.000  0.500  0.500
W  0.500  0.000  0.500


No. 6
First-principles (PBE) data for In2Bi2Se5 after structural relaxation, as listed in Alexandria.

Results
Calculated total energy, eV for the cell shown: -33.77
DOS at the Fermi energy, states/eV/atom: 0.011
ΔE_f (raw), meV/atom: -345

Cell: 10.389 10.389 6.844 Å, 102.05 102.05 23.29°
Fractional coordinates of all 9 atoms:
In  0.136  0.136  0.439
In  0.864  0.864  0.561
Bi  0.448  0.448  0.150
Bi  0.552  0.552  0.850
Se  0.000  0.000  0.500
Se  0.134  0.134  0.056
Se  0.312  0.312  0.364
Se  0.688  0.688  0.636
Se  0.866  0.866  0.944


No. 7
First-principles (PBE) data for InBi2Se2 after structural relaxation, as listed in Alexandria.

Results
Calculated total energy, eV for the cell shown: -17.17
DOS at the Fermi energy, states/eV/atom: 0.513
ΔE_f (raw), meV/atom: 59

Cell: 8.133 8.133 8.133 Å, 147.44 147.44 46.71°
Fractional coordinates of all 5 atoms:
In  0.000  0.000  0.000
Bi  0.250  0.750  0.500
Bi  0.750  0.250  0.500
Se  0.415  0.415  0.000
Se  0.585  0.585  0.000


No. 8
First-principles (PBE) data for In2Bi2Se after structural relaxation, as listed in Alexandria.

Results
Calculated total energy, eV for the cell shown: -33.04
DOS at the Fermi energy, states/eV/atom: 0.478
ΔE_f (raw), meV/atom: 41

Cell: 8.257 8.257 4.452 Å, 90.00 90.00 90.00°
Fractional coordinates of all 10 atoms:
In  0.137  0.363  0.000
In  0.363  0.863  0.000
In  0.637  0.137  0.000
In  0.863  0.637  0.000
Bi  0.171  0.671  0.500
Bi  0.329  0.171  0.500
Bi  0.671  0.829  0.500
Bi  0.829  0.329  0.500
Se  0.000  0.000  0.500
Se  0.500  0.500  0.500


No. 9
First-principles (PBE) data for In2BiSe after structural relaxation, as listed in Alexandria.

Results
Calculated total energy, eV for the cell shown: -13.14
DOS at the Fermi energy, states/eV/atom: 0.573
ΔE_f (raw), meV/atom: -75

Cell: 3.608 3.608 8.381 Å, 90.00 90.00 90.00°
Fractional coordinates of all 4 atoms:
In  0.000  0.000  0.212
In  0.000  0.000  0.788
Bi  0.500  0.500  0.500
Se  0.500  0.500  0.000


No. 10
First-principles (PBE) data for InBi2Se4 after structural relaxation, as listed in Alexandria.

Results
Calculated total energy, eV for the cell shown: -53.52
DOS at the Fermi energy, states/eV/atom: 0.329
ΔE_f (raw), meV/atom: -332

Cell: 7.214 7.214 14.329 Å, 90.00 90.00 147.17°
Fractional coordinates of all 14 atoms:
In  0.104  0.896  0.750
In  0.896  0.104  0.250
Bi  0.362  0.638  0.567
Bi  0.362  0.638  0.933
Bi  0.638  0.362  0.067
Bi  0.638  0.362  0.433
Se  0.000  0.000  0.000
Se  0.000  0.000  0.500
Se  0.279  0.721  0.124
Se  0.279  0.721  0.376
Se  0.464  0.536  0.750
Se  0.536  0.464  0.250
Se  0.721  0.279  0.624
Se  0.721  0.279  0.876


No. 11
First-principles (PBE) data for In2Bi2Se after structural relaxation, as listed in Alexandria.

Results
Calculated total energy, eV for the cell shown: -16.18
DOS at the Fermi energy, states/eV/atom: 0.595
ΔE_f (raw), meV/atom: 108

Cell: 8.627 8.627 8.627 Å, 151.49 151.49 40.77°
Fractional coordinates of all 5 atoms:
In  0.250  0.750  0.500
In  0.750  0.250  0.500
Bi  0.101  0.101  0.000
Bi  0.899  0.899  0.000
Se  0.500  0.500  0.000


No. 12
First-principles (PBE) data for InBi2Se2 after structural relaxation, as listed in Alexandria.

Results
Calculated total energy, eV for the cell shown: -35.42
DOS at the Fermi energy, states/eV/atom: 0.411
ΔE_f (raw), meV/atom: -48

Cell: 8.672 8.672 3.835 Å, 90.00 90.00 90.00°
Fractional coordinates of all 10 atoms:
In  0.000  0.000  0.000
In  0.500  0.500  0.000
Bi  0.184  0.316  0.500
Bi  0.316  0.816  0.500
Bi  0.684  0.184  0.500
Bi  0.816  0.684  0.500
Se  0.145  0.645  0.000
Se  0.355  0.145  0.000
Se  0.645  0.855  0.000
Se  0.855  0.355  0.000


No. 13
First-principles (PBE) data for InBi2Se4 after structural relaxation, as listed in Alexandria.

Results
Calculated total energy, eV for the cell shown: -53.34
DOS at the Fermi energy, states/eV/atom: 0.350
ΔE_f (raw), meV/atom: -319

Cell: 7.333 12.088 4.424 Å, 90.00 90.00 90.00°
Fractional coordinates of all 14 atoms:
In  0.000  0.000  0.000
In  0.500  0.500  0.000
Bi  0.101  0.323  0.500
Bi  0.399  0.823  0.500
Bi  0.601  0.177  0.500
Bi  0.899  0.677  0.500
Se  0.137  0.790  0.000
Se  0.242  0.050  0.500
Se  0.258  0.550  0.500
Se  0.363  0.290  0.000
Se  0.637  0.710  0.000
Se  0.742  0.450  0.500
Se  0.758  0.950  0.500
Se  0.863  0.210  0.000


No. 14
First-principles (PBE) data for InBi3Se4 after structural relaxation, as listed in Alexandria.

Results
Calculated total energy, eV for the cell shown: -60.78
DOS at the Fermi energy, states/eV/atom: 0.505
ΔE_f (raw), meV/atom: -259

Cell: 6.127 12.083 6.251 Å, 90.00 90.00 90.00°
Fractional coordinates of all 16 atoms:
In  0.250  0.250  0.234
In  0.750  0.750  0.766
Bi  0.250  0.502  0.746
Bi  0.250  0.750  0.261
Bi  0.250  0.998  0.746
Bi  0.750  0.002  0.254
Bi  0.750  0.250  0.739
Bi  0.750  0.498  0.254
Se  0.250  0.250  0.728
Se  0.250  0.506  0.218
Se  0.250  0.750  0.787
Se  0.250  0.994  0.218
Se  0.750  0.006  0.782
Se  0.750  0.250  0.213
Se  0.750  0.494  0.782
Se  0.750  0.750  0.272


No. 15
First-principles (PBE) data for InBiSe3 after structural relaxation, as listed in Alexandria.

Results
Calculated total energy, eV for the cell shown: -77.11
ΔE_f (raw), meV/atom: -441

Cell: 10.064 4.155 13.850 Å, 90.00 90.00 90.00°
Fractional coordinates of all 20 atoms:
In  0.148  0.250  0.046
In  0.352  0.750  0.546
In  0.648  0.250  0.454
In  0.852  0.750  0.954
Bi  0.025  0.250  0.640
Bi  0.475  0.750  0.140
Bi  0.525  0.250  0.860
Bi  0.975  0.750  0.360
Se  0.000  0.250  0.882
Se  0.000  0.750  0.118
Se  0.164  0.250  0.467
Se  0.196  0.750  0.705
Se  0.304  0.250  0.205
Se  0.336  0.750  0.967
Se  0.500  0.250  0.618
Se  0.500  0.750  0.382
Se  0.664  0.250  0.033
Se  0.696  0.750  0.795
Se  0.804  0.250  0.295
Se  0.836  0.750  0.533


No. 16
First-principles (PBE) data for InBi3Se6 after structural relaxation, as listed in Alexandria.

Results
Calculated total energy, eV for the cell shown: -77.79
ΔE_f (raw), meV/atom: -361

Cell: 12.689 4.199 12.726 Å, 90.00 100.12 90.00°
Fractional coordinates of all 20 atoms:
In  0.092  0.250  0.433
In  0.908  0.750  0.567
Bi  0.086  0.750  0.869
Bi  0.366  0.250  0.956
Bi  0.418  0.750  0.376
Bi  0.582  0.250  0.624
Bi  0.634  0.750  0.044
Bi  0.914  0.250  0.131
Se  0.042  0.250  0.631
Se  0.135  0.250  0.014
Se  0.242  0.250  0.326
Se  0.277  0.750  0.801
Se  0.419  0.750  0.593
Se  0.437  0.750  0.118
Se  0.563  0.250  0.882
Se  0.581  0.250  0.407
Se  0.723  0.250  0.199
Se  0.758  0.750  0.674
Se  0.865  0.750  0.986
Se  0.958  0.750  0.369


No. 17
First-principles (PBE) data for In2BiSe after structural relaxation, as listed in Alexandria.

Results
Calculated total energy, eV for the cell shown: -13.47
DOS at the Fermi energy, states/eV/atom: 0.397
ΔE_f (raw), meV/atom: -157

Cell: 7.731 7.731 7.731 Å, 31.90 31.90 31.90°
Fractional coordinates of all 4 atoms:
In  0.244  0.244  0.244
In  0.756  0.756  0.756
Bi  0.000  0.000  0.000
Se  0.500  0.500  0.500


No. 18
First-principles (PBE) data for In3Bi3Se8 after structural relaxation, as listed in Alexandria.

Results
Calculated total energy, eV for the cell shown: -53.34
DOS at the Fermi energy, states/eV/atom: 0.255
ΔE_f (raw), meV/atom: -401

Cell: 8.490 8.490 8.490 Å, 60.75 60.75 60.75°
Fractional coordinates of all 14 atoms:
In  0.000  0.000  0.000
In  0.380  0.380  0.380
In  0.620  0.620  0.620
Bi  0.000  0.000  0.500
Bi  0.000  0.500  0.000
Bi  0.500  0.000  0.000
Se  0.230  0.763  0.763
Se  0.237  0.237  0.770
Se  0.237  0.770  0.237
Se  0.247  0.247  0.247
Se  0.753  0.753  0.753
Se  0.763  0.230  0.763
Se  0.763  0.763  0.230
Se  0.770  0.237  0.237


No. 19
First-principles (PBE) data for InBi3Se6 after structural relaxation, as listed in Alexandria.

Results
Calculated total energy, eV for the cell shown: -39.44
ΔE_f (raw), meV/atom: -415

Cell: 20.571 20.571 20.571 Å, 11.56 11.56 11.56°
Fractional coordinates of all 10 atoms:
In  0.000  0.000  0.000
Bi  0.103  0.103  0.103
Bi  0.501  0.501  0.501
Bi  0.605  0.605  0.605
Se  0.193  0.193  0.193
Se  0.304  0.304  0.304
Se  0.411  0.411  0.411
Se  0.688  0.688  0.688
Se  0.802  0.802  0.802
Se  0.913  0.913  0.913